Entry 1:
A relaxed NdPaS2 crystal. Source: Alexandria, functional GGA-PBE.

The structure belongs to space group P4/mmm (No. 123); the cell edges are 4.8983, 4.8983 and 3.4607 Å and the angles 90.00°, 90.00° and 90.00°. The asymmetric unit holds Nd at (0.0000, 0.0000, 0.0000), Pa at (0.5000, 0.5000, 0.0000) and S at (0.0000, 0.5000, 0.5000).

Its offset from the most stable computed form is 385 meV/atom. The density of states at the Fermi level is 5.722 states/eV/cell. As for the uncorrected formation energy: -1390 meV/atom. For the total magnetization, the calculation gives 1.3 μB/cell.

Entry 2:
A relaxed YTa2Cl crystal. Source: Alexandria, functional GGA-PBE.

The structure belongs to space group R3m (No. 160, hexagonal axes); the cell edges are 3.3738, 3.3738 and 26.9411 Å and the angles 90.00°, 90.00° and 120.00°. The asymmetric unit holds Y at (0.0000, 0.0000, 0.0000), Ta at (0.0000, 0.0000, 0.2394), Ta at (0.0000, 0.0000, 0.5046) and Cl at (0.0000, 0.0000, 0.7443).

Its offset from the most stable computed form is 113 meV/atom. The density of states at the Fermi level is 10.178 states/eV/cell. As for the uncorrected formation energy: -74 meV/atom. For the total magnetization, the calculation gives 0.0 μB/cell.

Entry 3:
A relaxed Ca5GaAu2 crystal. Source: Alexandria, functional GGA-PBE.

The structure belongs to space group I4/mcm (No. 140); the cell edges are 7.9596, 7.9596 and 14.5002 Å and the angles 90.00°, 90.00° and 90.00°. The asymmetric unit holds Ca at (0.0000, 0.0000, 0.0000), Ca at (0.1691, 0.3309, 0.1440), Ga at (0.0000, 0.0000, 0.2500) and Au at (0.1297, 0.3703, 0.5000).

The density of states at the Fermi level is 18.915 states/eV/cell. For the total magnetization, the calculation gives 0.0 μB/cell. Its energy of formation from the pure elements is -455 kJ/mol of formula units.

Entry 4:
A relaxed LaCr2Rh crystal. Source: Alexandria, functional GGA-PBE.

The structure belongs to space group Fm-3m (No. 225); the cell edges are 6.7111, 6.7111 and 6.7111 Å and the angles 90.00°, 90.00° and 90.00°. The asymmetric unit holds La at (0.0000, 0.0000, 0.0000), Cr at (0.2500, 0.2500, 0.2500) and Rh at (0.0000, 0.0000, 0.5000).

Its offset from the most stable computed form is 354 meV/atom. The density of states at the Fermi level is 9.876 states/eV/cell. For the total magnetization, the calculation gives 31.5 μB/cell. Its energy of formation from the pure elements is 177 kJ/mol of formula units.

Question: total magnetization of number 1 (NdPaS2)?
Answer: 1.3 μB/cell

Question: Which of these has the highest total magnetization?
Answer: LaCr2Rh

Repeat the first record exactly.
A relaxed NdPaS2 crystal. Source: Alexandria, functional GGA-PBE.

The structure belongs to space group P4/mmm (No. 123); the cell edges are 4.8983, 4.8983 and 3.4607 Å and the angles 90.00°, 90.00° and 90.00°. The asymmetric unit holds Nd at (0.0000, 0.0000, 0.0000), Pa at (0.5000, 0.5000, 0.0000) and S at (0.0000, 0.5000, 0.5000).

Its offset from the most stable computed form is 385 meV/atom. The density of states at the Fermi level is 5.722 states/eV/cell. As for the uncorrected formation energy: -1390 meV/atom. For the total magnetization, the calculation gives 1.3 μB/cell.